Compound: TlCrO2
Source: Alexandria via LeMat-Bulk
Functional: GGA+U
Structure: relaxed

```
TlCrO2
1.0
-3.801 4.278 1.921
-0.850 -3.060 5.133
0.517 2.434 5.086
Tl O Cr
2 4 2
Cartesian
0.000 0.000 0.000
-2.804 3.661 5.267
-1.850 2.335 2.860
-3.569 3.296 9.309
-1.468 1.878 7.138
-1.379 -0.204 4.974
-2.326 0.609 3.527
-1.329 -0.009 6.873
```

## Properties
Crystal system: tetragonal
Total DFT energy (no corrections) in eV/cell: -48.76
ρ in Mg/m³: 7.063

***

Compound: TlCrO2
Source: Alexandria via LeMat-Bulk
Functional: GGA+U
Structure: relaxed

```
TlCrO2
1.0
0.000 2.959 2.959
2.959 0.000 2.959
2.959 2.959 0.000
Tl O Cr
1 2 1
Cartesian
2.959 2.959 2.959
1.480 1.480 1.480
4.439 4.439 4.439
0.000 0.000 0.000
```

## Properties
Crystal system: cubic
Total DFT energy (no corrections) in eV/cell: -20.94
ρ in Mg/m³: 9.241

***

Compound: Tl2CrO2
Source: Alexandria via LeMat-Bulk
Functional: GGA+U
Structure: relaxed

```
Tl2CrO2
1.0
-2.475 6.541 3.212
2.809 -2.274 6.794
2.947 1.471 -0.726
Tl O Cr
4 4 2
Cartesian
-1.194 3.823 2.903
1.528 0.444 7.104
-0.386 4.262 7.073
0.720 0.005 2.933
1.476 1.938 2.084
0.325 5.138 3.898
1.805 3.801 7.197
2.956 0.600 5.382
0.000 0.000 0.000
0.167 2.134 5.003
```

## Properties
Crystal system: tetragonal
Total DFT energy (no corrections) in eV/cell: -43.88
ρ in Mg/m³: 8.193

***

Compound: Tl2Cr2O7
Source: Alexandria via LeMat-Bulk
Functional: GGA+U
Structure: relaxed

```
Tl2Cr2O7
1.0
7.500 -0.095 -0.167
-2.875 7.339 0.170
-0.333 -2.636 7.409
O Cr Tl
14 4 4
Cartesian
3.707 -0.582 2.150
3.370 0.313 6.441
1.282 -0.597 4.743
5.339 0.951 4.520
3.010 5.204 2.670
1.707 -1.797 7.084
0.922 4.295 0.971
2.585 6.404 0.328
-1.047 3.656 2.892
1.022 2.003 2.598
-0.874 2.159 0.705
3.270 2.605 4.814
0.585 5.189 5.263
5.166 2.449 6.707
-0.013 3.011 1.796
1.859 5.698 1.603
4.305 1.597 5.616
2.433 -1.090 5.809
3.949 2.217 2.095
0.343 2.390 5.318
-1.944 6.597 2.014
6.236 -1.989 5.399
```

## Properties
Crystal system: triclinic
Total DFT energy (no corrections) in eV/cell: -134.11
ρ in Mg/m³: 5.092

***

Compound: Tl3CrO
Source: Alexandria via LeMat-Bulk
Functional: GGA+U
Structure: relaxed

```
Tl3CrO
1.0
5.413 0.000 0.000
0.000 5.413 0.000
0.000 0.000 5.413
Tl Cr O
3 1 1
Cartesian
0.000 2.706 0.000
2.706 0.000 0.000
0.000 0.000 2.706
0.000 0.000 0.000
2.706 2.706 2.706
```

## Properties
Crystal system: cubic
Total DFT energy (no corrections) in eV/cell: -16.36
ρ in Mg/m³: 7.132

***

Compound: Tl2CrO4
Source: Alexandria via LeMat-Bulk
Functional: GGA+U
Structure: relaxed

```
Tl2CrO4
1.0
7.167 -0.007 -0.075
4.708 5.404 -0.075
5.298 2.408 14.435
Tl O Cr
8 16 4
Cartesian
10.102 4.592 1.160
9.627 4.376 5.117
3.875 1.761 8.904
13.298 6.044 5.381
7.546 3.430 9.168
6.480 2.946 2.240
7.071 3.214 13.125
10.692 4.860 12.045
3.447 1.567 0.858
16.167 7.348 13.034
13.113 5.961 8.138
7.734 5.264 2.895
4.059 1.845 6.147
6.137 1.291 4.455
8.121 5.440 11.390
11.036 6.514 9.830
5.008 3.775 4.455
1.006 0.457 1.251
6.526 2.966 6.571
13.726 6.239 13.427
9.438 2.542 11.390
9.052 2.366 2.895
10.647 4.839 7.714
12.165 4.031 9.830
14.818 6.735 12.258
2.355 1.071 2.027
11.744 5.338 8.849
5.429 2.468 5.436
```

## Properties
Crystal system: monoclinic
Total DFT energy (no corrections) in eV/cell: -160.13
ρ in Mg/m³: 6.200

***

- What is the formula in the third record?
  Tl2CrO2